Entry 1:
A plane-wave DFT calculation with PBE-GGA was carried out for a relaxed structure of SrTh2OsN5.

a = 6.9324 Å, b = 6.9324 Å, c = 7.6220 Å
α = 117.05°, β = 117.05°, γ = 90.00°
With the nearest neighbours (Å) after each atom.
Positions (direct):
Th 0.6842 0.1842 0.0000  4 N 2.36-2.53
N 0.5000 0.5000 0.0000  4 Th 2.53
N 0.7247 0.2247 0.7267  1 Os 1.90
Sr 0.2500 0.2500 0.5000  10 N 2.92-2.99
N 0.2753 0.7753 0.2733  1 Os 1.90
N 0.0000 0.0000 0.0000  4 Th 2.53
N 0.2247 0.0020 0.7267  1 Os 1.90
N 0.0020 0.5020 0.7267  1 Os 1.90
Os 0.7500 0.2500 0.5000  4 N 1.90
N 0.4980 0.2753 0.2733  1 Os 1.90
Th 0.8158 0.6842 0.0000  4 N 2.36-2.53
Sr 0.7500 0.7500 0.5000  10 N 2.92-2.99
N 0.5020 0.7247 0.7267  1 Os 1.90
Th 0.3158 0.8158 0.0000  4 N 2.36-2.53
N 0.7753 0.9980 0.2733  1 Os 1.90
Os 0.2500 0.7500 0.5000  4 N 1.90
N 0.9980 0.4980 0.2733  1 Os 1.90
Th 0.1842 0.3158 0.0000  4 N 2.36-2.53

Output
Energy relative to the elements, uncorrected: -0.9326 eV/atom
V: 280.5 Å³ per cell
M_tot: 0.0 μB per formula unit
Crystal system: tetragonal



Entry 2:
A plane-wave DFT calculation with PBE-GGA was carried out for a relaxed structure of Rb2BeAu.

a = 9.4596 Å, b = 9.4596 Å, c = 7.5325 Å
α = 51.10°, β = 51.10°, γ = 90.00°
With the nearest neighbours (Å) after each atom.
Positions (direct):
Rb 0.3750 0.3608 0.7500  2 Au 3.36, 2 Rb 3.47, 2 Be 3.55
Be 0.2500 0.7500 0.5000  2 Au 3.46, 4 Rb 3.55
Au 0.0000 0.0000 0.0000  4 Rb 3.36, 2 Be 3.46
Rb 0.6392 0.1250 0.2500  2 Au 3.36, 2 Rb 3.47, 2 Be 3.55
Be 0.5000 0.5000 0.0000  2 Au 3.46, 4 Rb 3.55
Rb 0.1108 0.6250 0.2500  2 Au 3.36, 2 Rb 3.47, 2 Be 3.55
Au 0.7500 0.2500 0.5000  4 Rb 3.36, 2 Be 3.46
Rb 0.8750 0.8892 0.7500  2 Au 3.36, 2 Rb 3.47, 2 Be 3.55

Output
Raw total energy: -1.62 eV per atom
V: 309.9 Å³ per cell
M_tot: 0.0 μB per formula unit
Crystal system: tetragonal



Entry 3:
A plane-wave DFT calculation with PBE-GGA was carried out for a relaxed structure of La6Ir2RhCl2.

a = 7.3018 Å, b = 7.3018 Å, c = 7.7398 Å
α = 99.01°, β = 99.01°, γ = 120.03°
With the nearest neighbours (Å) after each atom.
Positions (direct):
La 0.4048 0.0716 0.7105  2 Ir 2.87, 1 Rh 2.89
Rh 0.0000 0.0000 0.5000  6 La 2.89
La 0.7335 0.7335 0.7093  2 Ir 2.89, 1 Rh 2.89
Cl 0.1668 0.8332 0.0000  6 La 3.23-3.25
Cl 0.8332 0.1668 0.0000  6 La 3.23-3.25
La 0.9284 0.5952 0.2895  2 Ir 2.87, 1 Rh 2.89
La 0.5952 0.9284 0.2895  2 Ir 2.87, 1 Rh 2.89
Ir 0.3309 0.6691 0.5000  6 La 2.87-2.89
La 0.0716 0.4048 0.7105  2 Ir 2.87, 1 Rh 2.89
Ir 0.6691 0.3309 0.5000  6 La 2.87-2.89
La 0.2665 0.2665 0.2907  2 Ir 2.89, 1 Rh 2.89

Output
Energy relative to the elements, uncorrected: -1.1048 eV/atom
V: 339.3 Å³ per cell
M_tot: 0.0 μB per formula unit
Crystal system: monoclinic



Entry 4:
A plane-wave DFT calculation with PBE-GGA was carried out for a relaxed structure of BaCa2Ge.

a = 6.8126 Å, b = 6.8126 Å, c = 10.3324 Å
α = 70.75°, β = 70.75°, γ = 90.00°
With the nearest neighbours (Å) after each atom.
Positions (direct):
Ge 0.5000 0.5000 0.0000  4 Ca 2.85
Ca 0.3750 0.6250 0.7500  2 Ge 2.85
Ca 0.8750 0.6250 0.7500  2 Ge 2.85
Ca 0.3750 0.6250 0.2500  2 Ge 2.85
Ba 0.0000 0.0000 0.0000  8 Ca 4.44, 4 Ge 4.82
Ca 0.3750 0.1250 0.2500  2 Ge 2.85
Ge 0.2500 0.7500 0.5000  4 Ca 2.85
Ba 0.7500 0.2500 0.5000  8 Ca 4.44, 4 Ge 4.82

Output
Raw total energy: -2.45 eV per atom
V: 424.2 Å³ per cell
M_tot: 0.0 μB per formula unit
Crystal system: tetragonal